Entry 1:
! CeMnH3, optimized geometry, DFT PBE; values from VASP
! Total DFT energy (no corrections) (eV for the cell shown): -52.56
&SYSTEM
  ibrav = 0, nat = 10, ntyp = 3
/
ATOMIC_SPECIES
Ce 140.12 Ce.upf
Mn 54.94 Mn.upf
H 1.01 H.upf
CELL_PARAMETERS angstrom
5.290 0.000 0.000
0.000 3.462 0.000
-0.917 0.000 5.472
ATOMIC_POSITIONS crystal
Ce 0.000 0.000 0.000
Ce 0.439 0.000 0.563
Mn 0.680 0.000 0.185
Mn 0.945 0.500 0.509
H 0.166 0.500 0.321
H 0.192 0.500 0.739
H 0.429 0.000 0.969
H 0.653 0.500 0.304
H 0.756 0.500 0.724
H 0.921 0.000 0.512

***

Entry 2:
! Ce2MnH5, optimized geometry, DFT PBE; values from VASP
! Total DFT energy (no corrections) (eV for the cell shown): -81.73
&SYSTEM
  ibrav = 0, nat = 16, ntyp = 3
/
ATOMIC_SPECIES
Ce 140.12 Ce.upf
Mn 54.94 Mn.upf
H 1.01 H.upf
CELL_PARAMETERS angstrom
4.966 0.000 0.000
0.000 4.966 0.000
0.000 0.000 7.227
ATOMIC_POSITIONS crystal
Ce 0.000 0.500 0.000
Ce 0.000 0.500 0.500
Ce 0.500 0.000 0.000
Ce 0.500 0.000 0.500
Mn 0.000 0.000 0.250
Mn 0.500 0.500 0.750
H 0.000 0.000 0.013
H 0.239 0.239 0.254
H 0.239 0.761 0.254
H 0.261 0.261 0.754
H 0.261 0.739 0.754
H 0.500 0.500 0.513
H 0.739 0.261 0.754
H 0.739 0.739 0.754
H 0.761 0.239 0.254
H 0.761 0.761 0.254

***

Entry 3:
! Ce2MnP2H4, optimized geometry, DFT PBE; values from VASP
! Total DFT energy (no corrections) (eV for the cell shown): -49.80
&SYSTEM
  ibrav = 0, nat = 9, ntyp = 4
/
ATOMIC_SPECIES
Ce 140.12 Ce.upf
Mn 54.94 Mn.upf
P 30.97 P.upf
H 1.01 H.upf
CELL_PARAMETERS angstrom
-2.770 2.770 3.965
2.770 -2.770 3.965
2.770 2.770 -3.965
ATOMIC_POSITIONS crystal
Ce 0.250 0.750 0.500
Ce 0.750 0.250 0.500
Mn 0.000 0.000 0.000
P 0.288 0.288 0.000
P 0.712 0.712 0.000
H 0.214 0.214 0.428
H 0.214 0.786 0.000
H 0.786 0.214 0.000
H 0.786 0.786 0.572

***

Entry 4:
! Ce2MnH12Rh3, optimized geometry, DFT PBE; values from VASP
! Total DFT energy (no corrections) (eV for the cell shown): -87.70
&SYSTEM
  ibrav = 0, nat = 18, ntyp = 4
/
ATOMIC_SPECIES
Ce 140.12 Ce.upf
Mn 54.94 Mn.upf
H 1.01 H.upf
Rh 102.91 Rh.upf
CELL_PARAMETERS angstrom
3.136 1.811 4.734
-3.136 1.811 4.734
0.000 -3.621 4.734
ATOMIC_POSITIONS crystal
Ce 0.120 0.120 0.120
Ce 0.880 0.880 0.880
Mn 0.500 0.500 0.500
H 0.145 0.608 0.608
H 0.171 0.171 0.626
H 0.171 0.626 0.171
H 0.374 0.829 0.829
H 0.392 0.392 0.855
H 0.392 0.855 0.392
H 0.608 0.145 0.608
H 0.608 0.608 0.145
H 0.626 0.171 0.171
H 0.829 0.374 0.829
H 0.829 0.829 0.374
H 0.855 0.392 0.392
Rh 0.000 0.500 0.500
Rh 0.500 0.000 0.500
Rh 0.500 0.500 0.000

***

Entry 5:
! CeMnZn2H8, optimized geometry, DFT PBE; values from VASP
! Total DFT energy (no corrections) (eV for the cell shown): -46.35
&SYSTEM
  ibrav = 0, nat = 12, ntyp = 4
/
ATOMIC_SPECIES
Ce 140.12 Ce.upf
Mn 54.94 Mn.upf
Zn 65.41 Zn.upf
H 1.01 H.upf
CELL_PARAMETERS angstrom
4.398 0.000 0.000
-0.030 4.706 0.000
-0.168 -1.136 5.000
ATOMIC_POSITIONS crystal
Ce 0.000 0.000 0.000
Mn 0.000 0.500 0.500
Zn 0.498 0.375 0.699
Zn 0.502 0.625 0.301
H 0.088 0.532 0.197
H 0.173 0.188 0.473
H 0.267 0.728 0.639
H 0.496 0.170 0.927
H 0.504 0.830 0.073
H 0.733 0.272 0.361
H 0.827 0.812 0.527
H 0.912 0.468 0.803

***

Entry 6:
! CeMoH4, optimized geometry, DFT PBE; values from VASP
! Total DFT energy (no corrections) (eV for the cell shown): -62.48
&SYSTEM
  ibrav = 0, nat = 12, ntyp = 3
/
ATOMIC_SPECIES
Ce 140.12 Ce.upf
Mo 95.94 Mo.upf
H 1.01 H.upf
CELL_PARAMETERS angstrom
3.287 -4.881 0.000
3.287 4.881 0.000
-2.325 0.000 3.938
ATOMIC_POSITIONS crystal
Ce 0.150 0.850 0.750
Ce 0.850 0.150 0.250
Mo 0.433 0.567 0.250
Mo 0.567 0.433 0.750
H 0.128 0.552 0.263
H 0.223 0.303 0.788
H 0.303 0.223 0.288
H 0.448 0.872 0.237
H 0.552 0.128 0.763
H 0.697 0.777 0.712
H 0.777 0.697 0.212
H 0.872 0.448 0.737

***

Entry 7:
! CeMo2H8, optimized geometry, DFT PBE; values from VASP
! Total DFT energy (no corrections) (eV for the cell shown): -54.80
&SYSTEM
  ibrav = 0, nat = 11, ntyp = 3
/
ATOMIC_SPECIES
Ce 140.12 Ce.upf
Mo 95.94 Mo.upf
H 1.01 H.upf
CELL_PARAMETERS angstrom
5.522 -2.207 0.000
5.522 2.207 0.000
-0.841 0.000 3.796
ATOMIC_POSITIONS crystal
Ce 0.000 0.000 0.000
Mo 0.246 0.246 0.677
Mo 0.754 0.754 0.323
H 0.122 0.655 0.428
H 0.214 0.214 0.147
H 0.345 0.878 0.572
H 0.411 0.411 0.926
H 0.589 0.589 0.074
H 0.655 0.122 0.428
H 0.786 0.786 0.853
H 0.878 0.345 0.572

***

Entry 8:
! Ce3H3N, optimized geometry, DFT PBE; values from VASP
! Total DFT energy (no corrections) (eV for the cell shown): -39.90
&SYSTEM
  ibrav = 0, nat = 7, ntyp = 3
/
ATOMIC_SPECIES
Ce 140.12 Ce.upf
H 1.01 H.upf
N 14.01 N.upf
CELL_PARAMETERS angstrom
4.881 0.000 0.000
0.000 4.881 0.000
0.000 0.000 4.881
ATOMIC_POSITIONS crystal
Ce 0.000 0.000 0.500
Ce 0.000 0.500 0.000
Ce 0.500 0.000 0.000
H 0.000 0.500 0.500
H 0.500 0.000 0.500
H 0.500 0.500 0.000
N 0.000 0.000 0.000

***

Entry 9:
! Ce2HN, optimized geometry, DFT PBE; values from VASP
! Total DFT energy (no corrections) (eV for the cell shown): -25.58
&SYSTEM
  ibrav = 0, nat = 4, ntyp = 3
/
ATOMIC_SPECIES
Ce 140.12 Ce.upf
H 1.01 H.upf
N 14.01 N.upf
CELL_PARAMETERS angstrom
4.238 0.000 0.000
0.000 4.238 0.000
0.000 0.000 3.133
ATOMIC_POSITIONS crystal
Ce 0.000 0.500 0.000
Ce 0.500 0.000 0.000
H 0.000 0.000 0.500
N 0.500 0.500 0.500

***

Entry 10:
! Ce4H3N, optimized geometry, DFT PBE; values from VASP
! Total DFT energy (no corrections) (eV for the cell shown): -46.90
&SYSTEM
  ibrav = 0, nat = 8, ntyp = 3
/
ATOMIC_SPECIES
Ce 140.12 Ce.upf
H 1.01 H.upf
N 14.01 N.upf
CELL_PARAMETERS angstrom
5.003 0.000 0.000
0.000 5.003 0.000
0.000 0.000 5.003
ATOMIC_POSITIONS crystal
Ce 0.000 0.000 0.000
Ce 0.000 0.500 0.500
Ce 0.500 0.000 0.500
Ce 0.500 0.500 0.000
H 0.000 0.000 0.500
H 0.000 0.500 0.000
H 0.500 0.000 0.000
N 0.500 0.500 0.500

***

Entry 11:
! Ce5H2N5, optimized geometry, DFT PBE; values from VASP
! Total DFT energy (no corrections) (eV for the cell shown): -89.90
&SYSTEM
  ibrav = 0, nat = 12, ntyp = 3
/
ATOMIC_SPECIES
Ce 140.12 Ce.upf
H 1.01 H.upf
N 14.01 N.upf
CELL_PARAMETERS angstrom
-3.991 3.991 2.972
3.991 -3.991 2.972
3.991 3.991 -2.972
ATOMIC_POSITIONS crystal
Ce 0.000 0.000 0.000
Ce 0.161 0.449 0.713
Ce 0.449 0.161 0.713
Ce 0.449 0.736 0.287
Ce 0.736 0.449 0.287
H 0.205 0.705 0.500
H 0.705 0.205 0.500
N 0.378 0.378 0.382
N 0.378 0.995 0.000
N 0.571 0.571 0.000
N 0.995 0.378 0.000
N 0.995 0.995 0.618

***

Entry 12:
! Ce4H5N, optimized geometry, DFT PBE; values from VASP
! Total DFT energy (no corrections) (eV for the cell shown): -54.58
&SYSTEM
  ibrav = 0, nat = 10, ntyp = 3
/
ATOMIC_SPECIES
Ce 140.12 Ce.upf
H 1.01 H.upf
N 14.01 N.upf
CELL_PARAMETERS angstrom
6.068 -1.764 0.000
6.068 1.764 0.000
-1.256 0.000 6.602
ATOMIC_POSITIONS crystal
Ce 0.108 0.108 0.353
Ce 0.365 0.365 0.180
Ce 0.635 0.635 0.820
Ce 0.892 0.892 0.647
H 0.174 0.174 0.044
H 0.237 0.237 0.671
H 0.500 0.500 0.000
H 0.763 0.763 0.329
H 0.826 0.826 0.956
N 0.500 0.500 0.500

***

Entry 13:
! Ce6HN5, optimized geometry, DFT PBE; values from VASP
! Total DFT energy (no corrections) (eV for the cell shown): -96.39
&SYSTEM
  ibrav = 0, nat = 12, ntyp = 3
/
ATOMIC_SPECIES
Ce 140.12 Ce.upf
H 1.01 H.upf
N 14.01 N.upf
CELL_PARAMETERS angstrom
3.086 -5.343 0.000
3.086 5.343 0.000
-2.069 0.000 5.802
ATOMIC_POSITIONS crystal
Ce 0.074 0.416 0.747
Ce 0.243 0.243 0.258
Ce 0.416 0.074 0.747
Ce 0.584 0.926 0.253
Ce 0.757 0.757 0.742
Ce 0.926 0.584 0.253
H 0.500 0.500 0.000
N 0.000 0.000 0.500
N 0.166 0.834 0.000
N 0.329 0.671 0.500
N 0.671 0.329 0.500
N 0.834 0.166 0.000

***

Entry 14:
! Ce7HN5, optimized geometry, DFT PBE; values from VASP
! Total DFT energy (no corrections) (eV for the cell shown): -203.11
&SYSTEM
  ibrav = 0, nat = 26, ntyp = 3
/
ATOMIC_SPECIES
Ce 140.12 Ce.upf
H 1.01 H.upf
N 14.01 N.upf
CELL_PARAMETERS angstrom
5.884 -1.765 0.000
5.884 1.765 0.000
-0.776 0.000 20.956
ATOMIC_POSITIONS crystal
Ce 0.000 0.000 0.000
Ce 0.006 0.006 0.572
Ce 0.107 0.107 0.282
Ce 0.176 0.176 0.791
Ce 0.277 0.277 0.501
Ce 0.284 0.284 0.073
Ce 0.442 0.442 0.855
Ce 0.465 0.465 0.714
Ce 0.550 0.550 0.429
Ce 0.565 0.565 0.142
Ce 0.719 0.719 0.931
Ce 0.734 0.734 0.644
Ce 0.818 0.818 0.359
Ce 0.842 0.842 0.217
H 0.454 0.454 0.312
H 0.830 0.830 0.762
N 0.075 0.075 0.891
N 0.096 0.096 0.681
N 0.188 0.188 0.392
N 0.209 0.209 0.182
N 0.365 0.365 0.961
N 0.373 0.373 0.611
N 0.642 0.642 0.036
N 0.642 0.642 0.537
N 0.910 0.910 0.462
N 0.919 0.919 0.112

***

Entry 15:
! Ce6HN8, optimized geometry, DFT PBE; values from VASP
! Total DFT energy (no corrections) (eV for the cell shown): -123.96
&SYSTEM
  ibrav = 0, nat = 15, ntyp = 3
/
ATOMIC_SPECIES
Ce 140.12 Ce.upf
H 1.01 H.upf
N 14.01 N.upf
CELL_PARAMETERS angstrom
3.346 1.932 5.801
-3.346 1.932 5.801
0.000 -3.863 5.801
ATOMIC_POSITIONS crystal
Ce 0.063 0.424 0.762
Ce 0.238 0.937 0.576
Ce 0.424 0.762 0.063
Ce 0.576 0.238 0.937
Ce 0.762 0.063 0.424
Ce 0.937 0.576 0.238
H 0.500 0.500 0.500
N 0.071 0.707 0.375
N 0.174 0.174 0.174
N 0.293 0.625 0.929
N 0.375 0.071 0.707
N 0.625 0.929 0.293
N 0.707 0.375 0.071
N 0.826 0.826 0.826
N 0.929 0.293 0.625

***

Entry 16:
! Ce2H3N, optimized geometry, DFT PBE; values from VASP
! Total DFT energy (no corrections) (eV for the cell shown): -32.40
&SYSTEM
  ibrav = 0, nat = 6, ntyp = 3
/
ATOMIC_SPECIES
Ce 140.12 Ce.upf
H 1.01 H.upf
N 14.01 N.upf
CELL_PARAMETERS angstrom
3.801 0.000 0.000
-1.901 3.292 0.000
0.000 0.000 6.219
ATOMIC_POSITIONS crystal
Ce 0.333 0.667 0.284
Ce 0.667 0.333 0.716
H 0.000 0.500 0.000
H 0.500 0.000 0.000
H 0.500 0.500 0.000
N 0.000 0.000 0.500

***

Entry 17:
! Ce2HN, optimized geometry, DFT PBE; values from VASP
! Total DFT energy (no corrections) (eV for the cell shown): -81.38
&SYSTEM
  ibrav = 0, nat = 12, ntyp = 3
/
ATOMIC_SPECIES
Ce 140.12 Ce.upf
H 1.01 H.upf
N 14.01 N.upf
CELL_PARAMETERS angstrom
3.461 0.000 0.000
-1.730 2.997 0.000
0.000 0.000 18.308
ATOMIC_POSITIONS crystal
Ce 0.000 0.000 0.000
Ce 0.000 0.000 0.177
Ce 0.333 0.667 0.667
Ce 0.333 0.667 0.844
Ce 0.667 0.333 0.333
Ce 0.667 0.333 0.510
H 0.000 0.000 0.420
H 0.333 0.667 0.087
H 0.667 0.333 0.753
N 0.000 0.000 0.589
N 0.333 0.667 0.256
N 0.667 0.333 0.922

***

Entry 18:
! Ce3H2N, optimized geometry, DFT PBE; values from VASP
! Total DFT energy (no corrections) (eV for the cell shown): -74.20
&SYSTEM
  ibrav = 0, nat = 12, ntyp = 3
/
ATOMIC_SPECIES
Ce 140.12 Ce.upf
H 1.01 H.upf
N 14.01 N.upf
CELL_PARAMETERS angstrom
3.474 0.000 0.000
0.000 5.051 0.000
0.000 0.000 10.850
ATOMIC_POSITIONS crystal
Ce 0.000 0.000 0.000
Ce 0.000 0.000 0.343
Ce 0.000 0.000 0.657
Ce 0.500 0.500 0.157
Ce 0.500 0.500 0.500
Ce 0.500 0.500 0.843
H 0.000 0.500 0.333
H 0.000 0.500 0.667
H 0.500 0.000 0.167
H 0.500 0.000 0.833
N 0.000 0.500 0.000
N 0.500 0.000 0.500

***

Entry 19:
! Ce4HNO2, optimized geometry, DFT PBE; values from VASP
! Total DFT energy (no corrections) (eV for the cell shown): -60.33
&SYSTEM
  ibrav = 0, nat = 8, ntyp = 4
/
ATOMIC_SPECIES
Ce 140.12 Ce.upf
H 1.01 H.upf
N 14.01 N.upf
O 16.00 O.upf
CELL_PARAMETERS angstrom
6.065 0.000 0.000
0.000 3.551 0.000
-1.893 0.000 5.837
ATOMIC_POSITIONS crystal
Ce 0.239 0.000 0.237
Ce 0.254 0.500 0.751
Ce 0.746 0.500 0.249
Ce 0.761 0.000 0.763
H 0.500 0.500 0.500
N 0.500 0.000 0.000
O 0.000 0.000 0.500
O 0.000 0.500 0.000

***

Entry 20:
! CePaHN2, optimized geometry, DFT PBE; values from VASP
! Total DFT energy (no corrections) (eV for the cell shown): -84.17
&SYSTEM
  ibrav = 0, nat = 10, ntyp = 4
/
ATOMIC_SPECIES
Ce 140.12 Ce.upf
Pa 231.04 Pa.upf
H 1.01 H.upf
N 14.01 N.upf
CELL_PARAMETERS angstrom
3.485 0.000 0.000
0.000 3.485 0.000
0.000 0.000 11.219
ATOMIC_POSITIONS crystal
Ce 0.250 0.250 0.143
Ce 0.750 0.750 0.857
Pa 0.250 0.250 0.613
Pa 0.750 0.750 0.387
H 0.250 0.750 0.000
H 0.750 0.250 0.000
N 0.250 0.250 0.381
N 0.250 0.250 0.806
N 0.750 0.750 0.194
N 0.750 0.750 0.619

***

Entry 21:
! Ce6HPb2N, optimized geometry, DFT PBE; values from VASP
! Total DFT energy (no corrections) (eV for the cell shown): -60.92
&SYSTEM
  ibrav = 0, nat = 10, ntyp = 4
/
ATOMIC_SPECIES
Ce 140.12 Ce.upf
H 1.01 H.upf
Pb 207.20 Pb.upf
N 14.01 N.upf
CELL_PARAMETERS angstrom
0.000 4.940 4.940
4.940 0.000 4.940
4.940 4.940 0.000
ATOMIC_POSITIONS crystal
Ce 0.246 0.246 0.754
Ce 0.246 0.754 0.246
Ce 0.246 0.754 0.754
Ce 0.754 0.246 0.246
Ce 0.754 0.246 0.754
Ce 0.754 0.754 0.246
H 0.500 0.500 0.500
Pb 0.250 0.250 0.250
Pb 0.750 0.750 0.750
N 0.000 0.000 0.000

***

Entry 22:
! Na2CeH6, optimized geometry, DFT PBE; values from VASP
! Total DFT energy (no corrections) (eV for the cell shown): -26.23
&SYSTEM
  ibrav = 0, nat = 9, ntyp = 3
/
ATOMIC_SPECIES
Na 22.99 Na.upf
Ce 140.12 Ce.upf
H 1.01 H.upf
CELL_PARAMETERS angstrom
0.000 4.206 4.206
4.206 0.000 4.206
4.206 4.206 0.000
ATOMIC_POSITIONS crystal
Na 0.250 0.250 0.250
Na 0.750 0.750 0.750
Ce 0.000 0.000 0.000
H 0.257 0.257 0.743
H 0.257 0.743 0.257
H 0.257 0.743 0.743
H 0.743 0.257 0.257
H 0.743 0.257 0.743
H 0.743 0.743 0.257